No. 1
Density functional theory data (GGA-PBE) for CuIr2Cl after structural relaxation.

Geometry as POSCAR:
```
CuIr2Cl
1.0
2.8402 0.0000 0.0000
0.0000 2.8402 0.0000
0.0000 0.0000 7.5754
Cu Ir Cl
1 2 1
Cartesian
0.0000 0.0000 0.0000
0.0000 0.0000 3.4852
1.4201 1.4201 1.7575
1.4201 1.4201 5.5035
```

**SG**: P4mm, No. 99
**Crystal system**: tetragonal
**Raw formation energy**: 0.43 eV/atom

No. 2
Density functional theory data (GGA-PBE) for GeTe2PtPb after structural relaxation.

Geometry as POSCAR:
```
GeTe2PtPb
1.0
5.2695 0.0000 0.0000
0.0000 5.2695 0.0000
0.0000 0.0000 5.4744
Ge Te Pt Pb
1 2 1 1
Cartesian
0.0000 0.0000 0.0000
0.0000 2.6348 0.0000
2.6348 0.0000 0.0000
2.6348 2.6348 2.7372
0.0000 0.0000 2.7372
```

**SG**: P4/mmm, No. 123
**Crystal system**: tetragonal
**Raw formation energy**: 0.86 eV/atom

No. 3
Density functional theory data (GGA-PBE) for TiPF2 after structural relaxation.

Geometry as POSCAR:
```
TiPF2
1.0
0.0000 2.8953 2.8953
2.8953 0.0000 2.8953
2.8953 2.8953 0.0000
Ti P F
1 1 2
Cartesian
0.0000 0.0000 0.0000
2.8953 2.8953 2.8953
1.4477 1.4477 1.4477
4.3430 4.3430 4.3430
```

**SG**: Fm-3m, No. 225
**Crystal system**: cubic
**Raw formation energy**: -0.96 eV/atom

No. 4
Density functional theory data (GGA-PBE) for Ta2GePbBr after structural relaxation.

Geometry as POSCAR:
```
Ta2GePbBr
1.0
5.3887 0.0000 0.0000
0.0000 5.3887 0.0000
0.0000 0.0000 5.3900
Ta Ge Pb Br
2 1 1 1
Cartesian
0.0000 2.6944 0.0000
2.6944 0.0000 0.0000
0.0000 0.0000 2.6950
0.0000 0.0000 0.0000
2.6944 2.6944 2.6950
```

**SG**: P4/mmm, No. 123
**Crystal system**: tetragonal
**Raw formation energy**: 2.11 eV/atom

No. 5
Density functional theory data (GGA-PBE) for MnFeMo2 after structural relaxation.

Geometry as POSCAR:
```
MnFeMo2
1.0
0.0000 3.0050 3.0050
3.0050 0.0000 3.0050
3.0050 3.0050 0.0000
Mn Fe Mo
1 1 2
Cartesian
0.0000 0.0000 0.0000
3.0050 3.0050 3.0050
1.5025 1.5025 1.5025
4.5075 4.5075 4.5075
```

**SG**: Fm-3m, No. 225
**Crystal system**: cubic
**Energy of formation from the pure elements**: 0.1641 eV per atom

No. 6
Density functional theory data (GGA-PBE) for V2FePd after structural relaxation.

Geometry as POSCAR:
```
V2FePd
1.0
2.7014 0.0000 0.0000
0.0000 2.7014 0.0000
0.0000 0.0000 7.1176
V Fe Pd
2 1 1
Cartesian
0.0000 0.0000 1.5701
0.0000 0.0000 5.5475
1.3507 1.3507 0.0000
1.3507 1.3507 3.5588
```

**SG**: P4/mmm, No. 123
**Crystal system**: tetragonal
**Energy of formation from the pure elements**: -0.1630 eV per atom

No. 7
Density functional theory data (GGA-PBE) for CeSi2Tc2Ni after structural relaxation.

Geometry as POSCAR:
```
CeSi2Tc2Ni
1.0
4.4393 0.0000 0.0000
0.0000 4.4393 0.0000
0.0000 0.0000 5.1545
Ce Si Tc Ni
1 2 2 1
Cartesian
0.0000 0.0000 0.0000
0.0000 2.2197 2.5773
2.2197 0.0000 2.5773
2.2197 2.2197 1.1995
2.2197 2.2197 3.9550
0.0000 0.0000 2.5773
```

**SG**: P4/mmm, No. 123
**Crystal system**: tetragonal
**Raw formation energy**: -0.12 eV/atom

No. 8
Density functional theory data (GGA-PBE) for Tb3Pm2ThS6 after structural relaxation.

Geometry as POSCAR:
```
Tb3Pm2ThS6
1.0
8.7004 -1.9851 0.0000
8.7004 1.9851 0.0000
-1.9373 0.0000 7.7559
Tb Pm Th S
3 2 1 6
Cartesian
0.0000 0.0000 0.0000
4.5190 0.0000 5.1620
10.9445 0.0000 2.5939
5.4988 0.0000 1.3149
9.9647 0.0000 6.4410
-0.9687 0.0000 3.8779
2.7062 0.0000 0.6908
1.8370 0.0000 4.4824
7.1854 0.0000 5.8740
8.2781 0.0000 1.8818
13.6265 0.0000 3.2734
12.7573 0.0000 7.0651
```

**SG**: C2/m, No. 12
**Crystal system**: monoclinic
**Raw formation energy**: -1.98 eV/atom

No. 9
Density functional theory data (GGA-PBE) for HoScBeRu after structural relaxation.

Geometry as POSCAR:
```
HoScBeRu
1.0
0.0000 3.3031 3.3031
3.3031 0.0000 3.3031
3.3031 3.3031 0.0000
Ho Sc Be Ru
1 1 1 1
Cartesian
0.0000 0.0000 0.0000
3.3031 3.3031 3.3031
1.6516 1.6516 1.6516
4.9547 4.9547 4.9547
```

**SG**: F-43m, No. 216
**Crystal system**: cubic
**Energy of formation from the pure elements**: -0.2247 eV per atom

No. 10
Density functional theory data (GGA-PBE) for Mn2GaN after structural relaxation.

Geometry as POSCAR:
```
Mn2GaN
1.0
2.7486 0.0000 0.0000
-1.3743 2.3804 0.0000
0.0000 0.0000 6.5912
Mn Ga N
2 1 1
Cartesian
0.0000 0.0000 1.2167
0.0000 0.0000 5.3745
0.0000 1.5869 3.2956
0.0000 1.5869 0.0000
```

**SG**: P-6m2, No. 187
**Crystal system**: hexagonal
**Raw formation energy**: -0.22 eV/atom

No. 11
Density functional theory data (GGA-PBE) for PmEr4Lu after structural relaxation.

Geometry as POSCAR:
```
PmEr4Lu
1.0
0.0000 4.6078 4.6078
4.6078 0.0000 4.6078
4.6078 4.6078 0.0000
Pm Er Lu
1 4 1
Cartesian
0.0000 0.0000 0.0000
5.7593 3.4562 3.4562
3.4562 5.7593 3.4562
3.4562 3.4562 5.7593
5.7593 5.7593 5.7593
2.3039 2.3039 2.3039
```

**SG**: F-43m, No. 216
**Crystal system**: cubic
**Energy of formation from the pure elements**: 0.2712 eV per atom

No. 12
Density functional theory data (GGA-PBE) for LaVHg3 after structural relaxation.

Geometry as POSCAR:
```
LaVHg3
1.0
5.1700 0.0000 0.0000
0.0000 5.1700 0.0000
0.0000 0.0000 5.1700
La V Hg
1 1 3
Cartesian
0.0000 0.0000 0.0000
2.5850 2.5850 2.5850
0.0000 2.5850 2.5850
2.5850 0.0000 2.5850
2.5850 2.5850 0.0000
```

**SG**: Pm-3m, No. 221
**Crystal system**: cubic
**Energy of formation from the pure elements**: 0.1383 eV per atom

No. 13
Density functional theory data (GGA-PBE) for Be2CuBr after structural relaxation.

Geometry as POSCAR:
```
Be2CuBr
1.0
-1.7320 1.7320 5.2502
1.7320 -1.7320 5.2502
1.7320 1.7320 -5.2502
Be Cu Br
2 1 1
Cartesian
1.7320 0.0000 2.6251
0.0000 1.7320 2.6251
0.0000 0.0000 0.0000
0.0000 0.0000 5.2502
```

**SG**: I4/mmm, No. 139
**Crystal system**: tetragonal
**Raw formation energy**: 0.83 eV/atom

No. 14
Density functional theory data (GGA-PBE) for Ta3BeNb after structural relaxation.

Geometry as POSCAR:
```
Ta3BeNb
1.0
4.8551 0.0000 0.0000
0.0000 4.8551 0.0000
0.0000 0.0000 4.8551
Ta Be Nb
3 1 1
Cartesian
0.0000 0.0000 2.4276
0.0000 2.4276 0.0000
2.4276 0.0000 0.0000
2.4276 2.4276 2.4276
0.0000 0.0000 0.0000
```

**SG**: Pm-3m, No. 221
**Crystal system**: cubic
**Energy of formation from the pure elements**: 1.9785 eV per atom

No. 15
Density functional theory data (GGA-PBE) for TbPrDy3Th after structural relaxation.

Geometry as POSCAR:
```
TbPrDy3Th
1.0
7.9993 0.0000 0.0000
0.0000 5.0765 0.0000
-3.2780 0.0000 9.6139
Tb Pr Dy Th
2 2 6 2
Cartesian
-1.2088 1.2691 3.5698
5.9301 3.8074 6.0441
0.3338 1.2691 6.8076
4.3874 3.8074 2.8063
1.9104 1.2691 1.9820
-0.5418 3.8074 9.2089
1.1511 3.8074 4.3793
3.5702 1.2691 5.2346
5.2631 1.2691 0.4050
2.8108 3.8074 7.6320
-0.3825 3.8074 1.1648
5.1038 1.2691 8.4491
```

**SG**: P2_1/m, No. 11
**Crystal system**: monoclinic
**Energy of formation from the pure elements**: 0.0280 eV per atom

No. 16
Density functional theory data (GGA-PBE) for Ti6VBi3 after structural relaxation.

Geometry as POSCAR:
```
Ti6VBi3
1.0
7.9966 0.0000 0.0000
0.0000 4.9235 0.0000
-3.7866 0.0000 9.6979
Ti V Bi
12 2 6
Cartesian
-1.1544 1.2309 3.5201
0.2443 3.6926 1.7650
-1.3286 1.2309 6.7607
-1.8451 1.2309 9.5717
-0.2660 3.6926 7.7988
1.5360 1.2309 5.6909
2.6740 3.6926 4.0070
4.4761 1.2309 1.8992
6.0552 3.6926 0.1262
5.5386 3.6926 2.9373
3.9658 1.2309 7.9329
5.3644 3.6926 6.1778
-2.9379 3.6926 8.7695
7.1480 1.2309 0.9285
-0.1401 3.6926 4.8640
1.5624 1.2309 2.7475
3.1793 3.6926 1.0151
1.0308 1.2309 8.6829
2.6476 3.6926 6.9504
4.3501 1.2309 4.8339
```

**SG**: P2_1/m, No. 11
**Crystal system**: monoclinic
**Energy of formation from the pure elements**: -0.0359 eV per atom